{
  "formula": "ZrMo2Ir2",
  "functional": "PBE",
  "state": "optimized geometry",
  "relative_energy_mev_per_atom": 19,
  "ef_ev_per_atom": -0.23,
  "dos_ef_per_ev_cell": 9.21,
  "final_energy_ev_per_atom": -9.815,
  "volume_a3_per_cell": 168,
  "lattice": [[7.7647, 0.0000, 0.0000], [0.0000, 7.7647, 0.0000], [0.0000, 0.0000, 2.7876]],
  "species": ["Zr", "Zr", "Mo", "Mo", "Mo", "Mo", "Ir", "Ir", "Ir", "Ir"],
  "fractional_positions": [[0.0000, 0.0000, 0.0000], [0.5000, 0.5000, 0.0000], [0.1202, 0.3798, 0.0000], [0.3798, 0.8798, 0.0000], [0.6202, 0.1202, 0.0000], [0.8798, 0.6202, 0.0000], [0.1736, 0.6736, 0.5000], [0.3264, 0.1736, 0.5000], [0.6736, 0.8264, 0.5000], [0.8264, 0.3264, 0.5000]]
}